DFT (PBE) results for a relaxed TbPmDy2Mg crystal.

- energy of formation (eV/atom) = 0.02

a b c (Å): 6.1323 5.6024 9.4507
angles (deg): 90.00 108.92 90.00
Space group P2_1/m (No. 11)
One atom of each set of equivalent atoms:
Tb: 0.1696 0.2500 0.0021
Pm: 0.3550 0.2500 0.3903
Dy: 0.0192 0.7500 0.3953
Dy: 0.2447 0.7500 0.7968
Mg: 0.4239 0.7500 0.1945

***

DFT (PBE) results for a relaxed Tb3Pm2Dy6Mg crystal.

- energy of formation (eV/atom) = 0.02

a b c (Å): 6.1275 10.6229 11.7502
angles (deg): 90.00 100.09 90.00
Space group C2/m (No. 12)
One atom of each set of equivalent atoms:
Tb: 0.0000 0.0000 0.0000
Tb: 0.0000 0.3342 0.0000
Pm: 0.0000 0.1664 0.5000
Dy: 0.2489 0.3342 0.7503
Dy: 0.2488 0.5000 0.2485
Mg: 0.0000 0.5000 0.5000

***

DFT (PBE) results for a relaxed Pm2DyMgTe5 crystal.

- uncorrected formation energy (eV per formula unit) = -11.03

a b c (Å): 4.3346 18.9561 13.5439
angles (deg): 90.00 90.00 90.00
Space group Cmc2_1 (No. 36)
One atom of each set of equivalent atoms:
Pm: 0.0000 0.1121 0.0000
Pm: 0.0000 0.1341 0.6200
Dy: 0.0000 0.2043 0.3291
Mg: 0.0000 0.4462 0.7738
Te: 0.0000 0.0495 0.3938
Te: 0.0000 0.2827 0.9886
Te: 0.0000 0.3118 0.6650
Te: 0.0000 0.3644 0.3166
Te: 0.0000 0.4955 0.0941

***

DFT (PBE) results for a relaxed PmDyThMg crystal.

- energy of formation (eV/atom) = 0.16
- E above lowest polymorph (eV per atom) = 0.205

a b c (Å): 7.8700 7.8700 7.8700
angles (deg): 90.00 90.00 90.00
Space group F-43m (No. 216)
One atom of each set of equivalent atoms:
Pm: 0.0000 0.0000 0.0000
Dy: 0.0000 0.0000 0.5000
Th: 0.2500 0.2500 0.2500
Mg: 0.2500 0.2500 0.7500

***

no.,total DFT energy (no corrections) (eV per atom)
1,-4.020
2,-4.363
3,-4.715
4,-4.434